Density functional theory data (PBEsol) for crystalline FeSi3 at its relaxed geometry.

Uncorrected energy ... -52.39 eV for the cell shown
D(E_F) ... 3.47 states/eV/cell
Calculated density ... 5.01 g/cm³
Total magnetization ... 0.000 μB/f.u.

Cell: 4.8754 6.9416 2.7436 Å, 90.00 90.00 90.00°
Space group Cmmm (No. 65)
Symmetry-distinct sites (fractional):
Fe: 0.0000 0.0000 0.0000
Si: 0.0000 0.5000 0.0000
Si: 0.2500 0.2500 0.5000